This record from the Alexandria database describes HoTm3Pb4 after structural relaxation. The functional is PBE-GGA.

Unit cell a=11.0738 b=6.3561 c=6.3555 alpha=90.00 beta=90.00 gamma=90.00
Closest atoms and distances in Å follow each position.
Space group Pmn2_1 (No. 31)
Asymmetric unit:
Ho: 0.0000 0.9996 0.0000 x2  4 Pb 3.18
Tm: 0.0000 0.4996 0.5004 x2  4 Pb 3.18
Tm: 0.2499 0.2514 0.2498 x4  4 Pb 3.18
Pb: 0.0000 0.4997 0.0004 x2  2 Ho 3.18, 4 Tm 3.18-3.56
Pb: 0.0000 0.9995 0.5001 x2  2 Ho 3.18, 2 Tm 3.18
Pb: 0.2500 0.2490 0.7498 x4  4 Tm 3.18

---

This record from the Alexandria database describes Tl2Co after structural relaxation. The functional is PBE-GGA.

Unit cell a=4.6379 b=4.6379 c=3.0799 alpha=90.00 beta=90.00 gamma=90.00
Closest atoms and distances in Å follow each position.
Space group P4/mmm (No. 123)
Asymmetric unit:
Tl: 0.0000 0.5000 0.0000 x2  4 Co 2.78, 2 Tl 3.08
Co: 0.0000 0.0000 0.5000 x1  8 Tl 2.78, 2 Co 3.08

---

This record from the Alexandria database describes Li2AlSnH after structural relaxation. The functional is PBE-GGA.

Unit cell a=4.1211 b=4.1211 c=4.3023 alpha=90.00 beta=90.00 gamma=90.00
Closest atoms and distances in Å follow each position.
Space group P4/mmm (No. 123)
Asymmetric unit:
Li: 0.0000 0.5000 0.0000 x2  2 H 2.06
Al: 0.0000 0.0000 0.5000 x1  2 H 2.15
Sn: 0.5000 0.5000 0.5000 x1  4 Al 2.91, 8 Li 2.98
H: 0.0000 0.0000 0.0000 x1  4 Li 2.06, 2 Al 2.15

---

This record from the Alexandria database describes BaZnIr2 after structural relaxation. The functional is PBE-GGA.

Unit cell a=4.3923 b=4.3923 c=8.2505 alpha=90.00 beta=90.00 gamma=90.00
Closest atoms and distances in Å follow each position.
Space group I4/mmm (No. 139)
Asymmetric unit:
Ba: 0.0000 0.0000 0.0000 x2  8 Ir 3.01, 4 Zn 3.11
Zn: 0.0000 0.0000 0.5000 x2  8 Ir 3.01, 4 Ba 3.11
Ir: 0.0000 0.5000 0.2500 x4  4 Ba 3.01, 4 Zn 3.01, 4 Ir 3.11

---

This record from the Alexandria database describes InCu4Ag after structural relaxation. The functional is PBE-GGA.

Unit cell a=7.0698 b=7.0698 c=7.0698 alpha=90.00 beta=90.00 gamma=90.00
Closest atoms and distances in Å follow each position.
Space group F-43m (No. 216)
Asymmetric unit:
In: 0.0000 0.0000 0.0000 x4  12 Cu 2.93, 4 Ag 3.06
Cu: 0.1248 0.1248 0.3752 x16  6 Cu 2.50
Ag: 0.2500 0.2500 0.7500 x4  12 Cu 2.93, 4 In 3.06

---

This record from the Alexandria database describes Li4Bi3O8 after structural relaxation. The functional is PBE-GGA.

- ΔE_f (raw) (eV per atom) = -1.369
- distance to the lowest polymorph of the same formula (kJ/mol of atoms) = 0.0

Unit cell a=6.5293 b=4.2506 c=14.0504 alpha=90.00 beta=92.29 gamma=90.00
Closest atoms and distances in Å follow each position.
Space group P2_1/m (No. 11)
Asymmetric unit:
Li: 0.0439 0.2500 0.1782 x2  2 O 1.93-1.99
Li: 0.1898 0.2500 0.8967 x2  4 O 1.99-2.15
Li: 0.3777 0.2500 0.4623 x2  4 O 1.97-2.13
Li: 0.4044 0.7500 0.8215 x2  4 O 2.04-2.16
Bi: 0.1504 0.7500 0.5857 x2  6 O 2.21-2.44
Bi: 0.3169 0.7500 0.0527 x2  5 O 2.08-2.17
Bi: 0.3273 0.7500 0.3072 x2  2 O 2.23-2.45
O: 0.0968 0.7500 0.1577 x2  3 Li 1.99-2.17, 1 Bi 2.10
O: 0.1108 0.2500 0.5435 x2  1 Li 2.12, 2 Bi 2.22
O: 0.1210 0.2500 0.3167 x2  1 Li 1.99
O: 0.1767 0.7500 0.9171 x2  4 Li 1.93-2.15, 1 Bi 2.08
O: 0.3579 0.7500 0.4655 x2  3 Li 1.97-2.13
O: 0.3753 0.2500 0.0364 x2  3 Bi 2.17-2.41, 2 Li 2.26-2.41
O: 0.4395 0.7500 0.6769 x2  1 Li 2.05, 1 Bi 2.24
O: 0.4602 0.2500 0.8331 x2  3 Li 2.01-2.16, 1 Bi 2.12

---

This record from the Alexandria database describes V2HI after structural relaxation. The functional is PBE-GGA.

- distance to the lowest polymorph of the same formula (kJ/mol of atoms) = 57.7

Unit cell a=6.2069 b=6.2069 c=6.2069 alpha=90.00 beta=90.00 gamma=90.00
Closest atoms and distances in Å follow each position.
Space group Fm-3m (No. 225)
Asymmetric unit:
V: 0.2500 0.2500 0.2500 x8  4 H 2.69, 4 I 2.69
H: 0.0000 0.0000 0.0000 x4  8 V 2.69
I: 0.0000 0.0000 0.5000 x4  8 V 2.69

---

This record from the Alexandria database describes NaPuHg4 after structural relaxation. The functional is PBE-GGA.

- distance to the lowest polymorph of the same formula (kJ/mol of atoms) = 16.0

Unit cell a=8.5423 b=8.5423 c=8.5423 alpha=90.00 beta=90.00 gamma=90.00
Closest atoms and distances in Å follow each position.
Space group F-43m (No. 216)
Asymmetric unit:
Na: 0.0000 0.0000 0.0000 x4  12 Hg 3.54, 4 Pu 3.70
Pu: 0.2500 0.2500 0.2500 x4  12 Hg 3.54, 4 Na 3.70
Hg: 0.1252 0.1252 0.6252 x16  6 Hg 3.01-3.03

---

no.,electronic total energy (eV per atom),V (A^3/atom)
1,-4.51,28.0
2,-3.54,22.1
3,-3.19,14.6
4,-4.60,19.9
5,-3.63,14.7
6,-5.30,13.0
7,-4.82,14.9
8,-2.84,26.0